BaTa4Os | GGA-PBEsol | relaxed

Unit cell a=7.805 b=7.805 c=7.805 alpha=90.00 beta=90.00 gamma=90.00
Space group F-43m (No. 216)
Symmetry-distinct sites (fractional):
Ba  0.000  0.000  0.000
Ta  0.125  0.125  0.625
Os  0.250  0.250  0.250

Calculated volume   118.9 Å³/f.u.
Theoretical density   14.68 g/cm³
Density of states at the Fermi level   5.20 states/eV/f.u.
Electronic total energy   -236.17 eV per cell
Energy of formation from the pure elements   921 meV per atom
Magnetization   0.00 μB per formula unit

***

BaTcOs2 | GGA-PBEsol | relaxed

Unit cell a=4.443 b=4.443 c=7.219 alpha=90.00 beta=90.00 gamma=90.00
Space group I4/mmm (No. 139)
Symmetry-distinct sites (fractional):
Ba  0.000  0.000  0.000
Tc  0.000  0.000  0.500
Os  0.000  0.500  0.250

Energy above the lowest structure with this stoichiometry   0.0 meV per atom
Calculated volume   71.3 Å³/f.u.
Theoretical density   14.35 g/cm³
Density of states at the Fermi level   4.64 states/eV/f.u.
Electronic total energy   -63.31 eV per cell
Energy of formation from the pure elements   1548 meV per atom
Magnetization   0.01 μB per formula unit

***

BaTcOs2 | GGA-PBEsol | relaxed

Unit cell a=4.982 b=4.982 c=2.927 alpha=90.00 beta=90.00 gamma=90.00
Space group P4/mmm (No. 123)
Symmetry-distinct sites (fractional):
Ba  0.000  0.000  0.000
Tc  0.500  0.500  0.000
Os  0.000  0.500  0.500

Energy above the lowest structure with this stoichiometry   109.9 meV per atom
Calculated volume   72.7 Å³/f.u.
Theoretical density   14.07 g/cm³
Density of states at the Fermi level   7.32 states/eV/f.u.
Electronic total energy   -31.22 eV per cell
Energy of formation from the pure elements   1658 meV per atom
Magnetization   0.15 μB per formula unit

***

Ba3TiOs | GGA-PBEsol | relaxed

Unit cell a=5.866 b=5.866 c=5.866 alpha=90.00 beta=90.00 gamma=90.00
Space group Pm-3m (No. 221)
Symmetry-distinct sites (fractional):
Ba  0.000  0.000  0.500
Ti  0.500  0.500  0.500
Os  0.000  0.000  0.000

Calculated volume   201.9 Å³/f.u.
Theoretical density   5.35 g/cm³
Density of states at the Fermi level   13.24 states/eV/f.u.
Electronic total energy   -21.87 eV per cell
Energy of formation from the pure elements   1023 meV per atom
Magnetization   3.94 μB per formula unit

***

Question: What is the theoretical density in the first record?
Answer: 14.68 g/cm³

***

Question: The highest theoretical density belongs to which entry?
Answer: BaTa4Os

***

Question: Which of these has the lowest energy of formation from the pure elements?
Answer: BaTa4Os

***

Question: What is the formula in the third record?
Answer: BaTcOs2